[1]
The following is a PBE-GGA calculation of a relaxed structure of CuNiSb2, from Alexandria via LeMat-Bulk.

POSCAR file:
```
CuNiSb2
1.0
2.012 1.161 6.029
-2.012 1.161 6.029
0.000 -2.323 6.029
Cu Ni Sb
1 1 2
Cartesian
0.000 0.000 0.000 Cu
0.000 0.000 5.423 Ni
0.000 0.000 10.198 Sb
0.000 0.000 13.277 Sb
```

**Offset from the most stable computed form**: 0.146 eV/atom
**VASP energy**: -4.536 eV/atom
**Raw formation energy**: -6 meV/atom
**Total magnetization**: 0.00 Bohr magnetons per cell
**Symmetry**: R3m



[2]
The following is a PBE-GGA calculation of a relaxed structure of CuNi2Sb, from Alexandria via LeMat-Bulk.

POSCAR file:
```
CuNi2Sb
1.0
3.722 0.000 0.000
-1.861 3.223 0.000
0.000 0.000 5.211
Cu Ni Sb
1 2 1
Cartesian
0.000 0.000 0.000 Cu
0.000 2.149 4.063 Ni
1.861 1.074 1.148 Ni
0.000 0.000 2.606 Sb
```

**VASP energy**: -4.722 eV/atom
**Raw formation energy**: 224 meV/atom
**Total magnetization**: 0.00 Bohr magnetons per cell
**Symmetry**: P-3m1



[3]
The following is a PBE-GGA calculation of a relaxed structure of Sm2CuNi3Sb4, from Alexandria via LeMat-Bulk.

POSCAR file:
```
Sm2CuNi3Sb4
1.0
4.458 0.000 0.000
0.000 4.458 0.000
0.000 0.000 10.154
Sm Cu Ni Sb
2 1 3 4
Cartesian
0.000 2.229 2.454 Sm
2.229 0.000 7.700 Sm
2.229 2.229 0.000 Cu
0.000 0.000 0.000 Ni
0.000 2.229 6.337 Ni
2.229 0.000 3.817 Ni
0.000 0.000 5.077 Sb
0.000 2.229 8.822 Sb
2.229 0.000 1.333 Sb
2.229 2.229 5.077 Sb
```

**VASP energy**: -5.311 eV/atom
**Raw formation energy**: -575 meV/atom
**Total magnetization**: 0.00 Bohr magnetons per cell
**Symmetry**: P-4m2



[4]
The following is a PBE-GGA calculation of a relaxed structure of CuNi7Sn2Sb2, from Alexandria via LeMat-Bulk.

POSCAR file:
```
CuNi7Sn2Sb2
1.0
2.525 -2.525 0.000
2.525 2.525 0.000
-2.476 0.000 15.541
Cu Ni Sn Sb
1 7 2 2
Cartesian
0.000 0.000 0.000 Cu
1.254 1.262 1.779 Ni
0.031 0.000 9.477 Ni
1.319 1.262 13.762 Ni
2.525 0.000 0.000 Ni
1.254 -1.262 1.779 Ni
2.542 0.000 6.064 Ni
1.319 -1.262 13.762 Ni
0.020 0.000 6.707 Sn
2.553 0.000 8.834 Sn
0.054 0.000 11.974 Sb
2.519 0.000 3.567 Sb
```

**VASP energy**: -5.115 eV/atom
**Raw formation energy**: -47 meV/atom
**Total magnetization**: 0.00 Bohr magnetons per cell
**Symmetry**: C2/m



[5]
The following is a PBE-GGA calculation of a relaxed structure of Sr2CuNi3Sb4, from Alexandria via LeMat-Bulk.

POSCAR file:
```
Sr2CuNi3Sb4
1.0
4.556 0.000 0.000
0.000 4.556 0.000
0.000 0.000 10.337
Sr Cu Ni Sb
2 1 3 4
Cartesian
0.000 2.278 2.502 Sr
2.278 0.000 7.834 Sr
2.278 2.278 0.000 Cu
0.000 0.000 0.000 Ni
0.000 2.278 6.420 Ni
2.278 0.000 3.917 Ni
0.000 0.000 5.168 Sb
0.000 2.278 8.989 Sb
2.278 0.000 1.348 Sb
2.278 2.278 5.168 Sb
```

**VASP energy**: -4.648 eV/atom
**Raw formation energy**: -518 meV/atom
**Total magnetization**: 0.00 Bohr magnetons per cell
**Symmetry**: P-4m2



[6]
The following is a PBE-GGA calculation of a relaxed structure of CuNiSbTe2, from Alexandria via LeMat-Bulk.

POSCAR file:
```
CuNiSbTe2
1.0
5.163 0.000 0.000
0.000 5.163 0.000
0.000 0.000 4.787
Cu Ni Sb Te
1 1 1 2
Cartesian
0.000 0.000 0.000 Cu
2.581 2.581 2.394 Ni
2.581 2.581 0.000 Sb
0.000 2.581 2.394 Te
2.581 0.000 2.394 Te
```

**Offset from the most stable computed form**: 0.000 eV/atom
**VASP energy**: -3.502 eV/atom
**Raw formation energy**: 555 meV/atom
**Total magnetization**: 0.00 Bohr magnetons per cell
**Symmetry**: P4/mmm



[7]
The following is a PBE-GGA calculation of a relaxed structure of CuNiSbTe2, from Alexandria via LeMat-Bulk.

POSCAR file:
```
CuNiSbTe2
1.0
5.161 0.000 0.000
0.000 5.161 0.000
0.000 0.000 4.908
Cu Ni Sb Te
1 1 1 2
Cartesian
0.000 0.000 0.000 Cu
2.580 2.580 2.454 Ni
0.000 0.000 2.454 Sb
0.000 2.580 0.000 Te
2.580 0.000 0.000 Te
```

**Offset from the most stable computed form**: 0.292 eV/atom
**VASP energy**: -3.210 eV/atom
**Raw formation energy**: 847 meV/atom
**Total magnetization**: 0.73 Bohr magnetons per cell
**Symmetry**: P4/mmm



[8]
The following is a PBE-GGA calculation of a relaxed structure of CuNiSbTe2, from Alexandria via LeMat-Bulk.

POSCAR file:
```
CuNiSbTe2
1.0
5.147 0.000 0.000
0.000 5.147 0.000
0.000 0.000 4.485
Cu Ni Sb Te
1 1 1 2
Cartesian
0.000 0.000 0.000 Cu
0.000 0.000 2.243 Ni
2.574 2.574 2.243 Sb
0.000 2.574 0.000 Te
2.574 0.000 0.000 Te
```

**Offset from the most stable computed form**: 0.013 eV/atom
**VASP energy**: -3.489 eV/atom
**Raw formation energy**: 568 meV/atom
**Total magnetization**: 0.06 Bohr magnetons per cell
**Symmetry**: P4/mmm



[9]
The following is a PBE-GGA calculation of a relaxed structure of CuNiSb2Te, from Alexandria via LeMat-Bulk.

POSCAR file:
```
CuNiSb2Te
1.0
4.906 0.000 0.000
0.000 4.906 0.000
0.000 0.000 5.194
Cu Ni Sb Te
1 1 2 1
Cartesian
0.000 0.000 0.000 Cu
2.453 2.453 2.597 Ni
0.000 2.453 2.597 Sb
2.453 0.000 2.597 Sb
2.453 2.453 0.000 Te
```

**Offset from the most stable computed form**: 0.000 eV/atom
**VASP energy**: -3.713 eV/atom
**Raw formation energy**: 540 meV/atom
**Total magnetization**: 0.00 Bohr magnetons per cell
**Symmetry**: P4/mmm



[10]
The following is a PBE-GGA calculation of a relaxed structure of CuNiSb2Te, from Alexandria via LeMat-Bulk.

POSCAR file:
```
CuNiSb2Te
1.0
4.998 0.000 0.000
0.000 4.998 0.000
0.000 0.000 5.120
Cu Ni Sb Te
1 1 2 1
Cartesian
0.000 0.000 0.000 Cu
2.499 2.499 2.560 Ni
0.000 2.499 0.000 Sb
2.499 0.000 0.000 Sb
0.000 0.000 2.560 Te
```

**Offset from the most stable computed form**: 0.298 eV/atom
**VASP energy**: -3.414 eV/atom
**Raw formation energy**: 839 meV/atom
**Total magnetization**: 0.24 Bohr magnetons per cell
**Symmetry**: P4/mmm



[11]
The following is a PBE-GGA calculation of a relaxed structure of Ti2CuNi7Sb2, from Alexandria via LeMat-Bulk.

POSCAR file:
```
Ti2CuNi7Sb2
1.0
2.427 -2.426 0.000
2.427 2.426 0.000
-2.405 0.000 14.566
Ti Cu Ni Sb
2 1 7 2
Cartesian
-0.003 0.000 3.617 Ti
2.451 0.000 10.949 Ti
2.427 0.000 0.000 Cu
0.000 0.000 0.000 Ni
1.212 1.213 1.869 Ni
0.009 0.000 6.590 Ni
1.236 1.213 12.697 Ni
1.212 -1.213 1.869 Ni
2.439 0.000 7.977 Ni
1.236 -1.213 12.697 Ni
0.016 0.000 9.122 Sb
2.432 0.000 5.444 Sb
```

**VASP energy**: -5.780 eV/atom
**Raw formation energy**: -63 meV/atom
**Total magnetization**: 0.00 Bohr magnetons per cell
**Symmetry**: C2/m



[12]
The following is a PBE-GGA calculation of a relaxed structure of Tl2CuNiSb, from Alexandria via LeMat-Bulk.

POSCAR file:
```
Tl2CuNiSb
1.0
6.010 0.000 0.000
0.000 6.010 0.000
0.000 0.000 4.753
Tl Cu Ni Sb
2 1 1 1
Cartesian
0.000 3.005 0.000 Tl
3.005 0.000 0.000 Tl
0.000 0.000 2.377 Cu
3.005 3.005 2.377 Ni
0.000 0.000 0.000 Sb
```

**VASP energy**: -2.778 eV/atom
**Raw formation energy**: 968 meV/atom
**Total magnetization**: 0.89 Bohr magnetons per cell
**Symmetry**: P4/mmm



[13]
The following is a PBE-GGA calculation of a relaxed structure of U6Cu3Ni3Sb8, from Alexandria via LeMat-Bulk.

POSCAR file:
```
U6Cu3Ni3Sb8
1.0
6.717 -4.752 0.000
6.717 4.752 0.000
-6.645 0.000 6.728
U Cu Ni Sb
6 3 3 8
Cartesian
0.000 0.000 0.000 U
4.187 1.139 0.917 U
-0.814 -1.261 4.148 U
2.602 1.139 5.811 U
3.395 -2.506 3.364 U
7.603 -1.261 2.580 U
2.521 -1.264 0.834 Cu
6.717 -0.073 0.000 Cu
4.268 -1.264 5.894 Cu
-0.814 1.112 2.519 Ni
3.395 2.301 3.364 Ni
7.603 1.112 4.209 Ni
-3.867 -0.454 5.035 Sb
-0.505 1.890 5.033 Sb
1.699 0.332 2.804 Sb
7.295 1.890 1.695 Sb
5.090 0.332 3.924 Sb
5.049 -2.053 0.584 Sb
1.741 -2.053 6.144 Sb
10.656 -0.454 1.693 Sb
```

**VASP energy**: -6.828 eV/atom
**Raw formation energy**: -310 meV/atom
**Total magnetization**: 15.02 Bohr magnetons per cell
**Symmetry**: C2



[14]
The following is a PBE-GGA calculation of a relaxed structure of ScCu8Ni4, from Alexandria via LeMat-Bulk.

POSCAR file:
```
ScCu8Ni4
1.0
-4.125 4.125 2.401
4.125 -4.125 2.401
4.125 4.125 -2.401
Sc Cu Ni
1 8 4
Cartesian
0.000 0.000 0.000 Sc
2.872 0.000 0.000 Cu
5.377 0.000 0.000 Cu
4.125 2.333 0.000 Cu
0.000 2.872 0.000 Cu
2.333 4.125 0.000 Cu
1.792 0.000 2.401 Cu
0.000 5.377 0.000 Cu
0.000 1.792 2.401 Cu
2.062 2.062 -1.200 Ni
2.062 -2.062 1.200 Ni
-2.062 2.062 1.200 Ni
2.062 2.062 1.200 Ni
```

**VASP energy**: -4.866 eV/atom
**Energy relative to the elements**: -0.079 eV per atom
**Total magnetization**: 0.00 Bohr magnetons per cell
**Symmetry**: I4/mmm



[15]
The following is a PBE-GGA calculation of a relaxed structure of Sc2CuNi, from Alexandria via LeMat-Bulk.

POSCAR file:
```
Sc2CuNi
1.0
4.850 -1.563 0.000
4.850 1.563 0.000
-1.158 0.000 4.434
Sc Cu Ni
2 1 1
Cartesian
0.000 0.000 0.000 Sc
1.342 0.000 2.772 Sc
3.917 0.000 2.028 Cu
7.042 0.000 0.691 Ni
```

**VASP energy**: -5.890 eV/atom
**Energy relative to the elements**: -0.255 eV per atom
**Total magnetization**: 0.00 Bohr magnetons per cell
**Symmetry**: Cm



[16]
The following is a PBE-GGA calculation of a relaxed structure of ScCu2Ni2, from Alexandria via LeMat-Bulk.

POSCAR file:
```
ScCu2Ni2
1.0
-1.775 1.775 5.579
1.775 -1.775 5.579
1.775 1.775 -5.579
Sc Cu Ni
1 2 2
Cartesian
0.000 0.000 0.000 Sc
1.775 0.000 2.790 Cu
0.000 1.775 2.790 Cu
0.000 0.000 4.440 Ni
0.000 0.000 6.719 Ni
```

**Offset from the most stable computed form**: 0.000 eV/atom
**VASP energy**: -5.377 eV/atom
**Energy relative to the elements**: -0.159 eV per atom
**Total magnetization**: 0.00 Bohr magnetons per cell
**Symmetry**: I4/mmm



[17]
The following is a PBE-GGA calculation of a relaxed structure of ScCu2Ni2, from Alexandria via LeMat-Bulk.

POSCAR file:
```
ScCu2Ni2
1.0
6.847 0.000 0.000
0.000 6.847 0.000
0.000 0.000 2.838
Sc Cu Ni
2 4 4
Cartesian
0.000 0.000 0.000 Sc
3.424 3.424 0.000 Sc
1.112 2.312 1.419 Cu
2.312 5.735 1.419 Cu
4.536 1.112 1.419 Cu
5.735 4.536 1.419 Cu
0.903 4.327 0.000 Ni
2.521 0.903 0.000 Ni
4.327 5.944 0.000 Ni
5.944 2.521 0.000 Ni
```

**Offset from the most stable computed form**: 0.029 eV/atom
**VASP energy**: -5.347 eV/atom
**Energy relative to the elements**: -0.130 eV per atom
**Total magnetization**: 0.00 Bohr magnetons per cell
**Symmetry**: P4/mbm



[18]
The following is a PBE-GGA calculation of a relaxed structure of ScCuNi2, from Alexandria via LeMat-Bulk.

POSCAR file:
```
ScCuNi2
1.0
3.201 0.000 0.000
0.000 3.201 0.000
0.000 0.000 5.310
Sc Cu Ni
1 1 2
Cartesian
0.000 0.000 0.000 Sc
1.601 1.601 1.541 Cu
0.000 0.000 2.691 Ni
1.601 1.601 3.978 Ni
```

**VASP energy**: -5.686 eV/atom
**Energy relative to the elements**: -0.189 eV per atom
**Total magnetization**: 0.00 Bohr magnetons per cell
**Symmetry**: P4mm



[19]
The following is a PBE-GGA calculation of a relaxed structure of ScCu4Ni2, from Alexandria via LeMat-Bulk.

POSCAR file:
```
ScCu4Ni2
1.0
3.889 -3.092 0.000
3.889 3.092 0.000
-2.914 0.000 3.784
Sc Cu Ni
1 4 2
Cartesian
0.000 0.000 0.000 Sc
-0.501 1.214 2.637 Cu
5.364 -1.214 1.147 Cu
-0.501 -1.214 2.637 Cu
5.364 1.214 1.147 Cu
3.159 0.000 0.947 Ni
1.705 0.000 2.837 Ni
```

**VASP energy**: -5.048 eV/atom
**Energy relative to the elements**: -0.151 eV per atom
**Total magnetization**: 0.00 Bohr magnetons per cell
**Symmetry**: C2/m



[20]
The following is a PBE-GGA calculation of a relaxed structure of Sc8Cu2Ni, from Alexandria via LeMat-Bulk.

POSCAR file:
```
Sc8Cu2Ni
1.0
3.258 -7.698 0.000
3.258 7.698 0.000
-2.642 0.000 4.621
Sc Cu Ni
8 2 1
Cartesian
0.000 0.000 0.000 Sc
1.978 5.852 2.470 Sc
2.443 1.807 0.962 Sc
1.200 0.000 3.207 Sc
2.484 3.017 4.060 Sc
2.443 -1.807 0.962 Sc
1.978 -5.852 2.470 Sc
2.484 -3.017 4.060 Sc
0.588 3.573 1.769 Cu
0.588 -3.573 1.769 Cu
4.252 0.000 1.050 Ni
```

**Offset from the most stable computed form**: 0.080 eV/atom
**VASP energy**: -5.985 eV/atom
**Energy relative to the elements**: -0.110 eV per atom
**Total magnetization**: 0.00 Bohr magnetons per cell
**Symmetry**: Cm



[21]
The following is a PBE-GGA calculation of a relaxed structure of Sc3Cu2Ni2, from Alexandria via LeMat-Bulk.

POSCAR file:
```
Sc3Cu2Ni2
1.0
4.609 -1.842 0.000
4.609 1.842 0.000
-0.495 0.000 6.700
Sc Cu Ni
3 2 2
Cartesian
0.000 0.000 0.000 Sc
3.065 0.000 4.260 Sc
5.659 0.000 2.440 Sc
2.723 0.000 0.869 Cu
6.000 0.000 5.832 Cu
0.442 0.000 4.327 Ni
8.282 0.000 2.373 Ni
```

**VASP energy**: -5.843 eV/atom
**Energy relative to the elements**: -0.307 eV per atom
**Total magnetization**: 0.00 Bohr magnetons per cell
**Symmetry**: C2/m



[22]
The following is a PBE-GGA calculation of a relaxed structure of Sc2CuNi, from Alexandria via LeMat-Bulk.

POSCAR file:
```
Sc2CuNi
1.0
-1.430 2.467 5.048
1.430 -2.467 5.048
1.430 2.467 -5.048
Sc Cu Ni
2 1 1
Cartesian
0.000 0.000 2.401 Sc
0.000 0.000 7.696 Sc
0.000 0.000 5.048 Cu
0.000 0.000 0.000 Ni
```

**VASP energy**: -5.135 eV/atom
**Energy relative to the elements**: 0.500 eV per atom
**Total magnetization**: 0.00 Bohr magnetons per cell
**Symmetry**: Immm



[23]
The following is a PBE-GGA calculation of a relaxed structure of Sc4Cu3Ni, from Alexandria via LeMat-Bulk.

POSCAR file:
```
Sc4Cu3Ni
1.0
3.225 0.000 0.000
0.000 3.225 0.000
0.000 0.000 13.012
Sc Cu Ni
4 3 1
Cartesian
0.000 0.000 1.556 Sc
0.000 0.000 4.855 Sc
0.000 0.000 8.157 Sc
0.000 0.000 11.456 Sc
1.613 1.613 3.219 Cu
1.613 1.613 6.506 Cu
1.613 1.613 9.793 Cu
1.613 1.613 0.000 Ni
```

**VASP energy**: -5.767 eV/atom
**Energy relative to the elements**: -0.343 eV per atom
**Total magnetization**: 0.00 Bohr magnetons per cell
**Symmetry**: P4/mmm



[24]
The following is a PBE-GGA calculation of a relaxed structure of ScCu2Ni2, from Alexandria via LeMat-Bulk.

POSCAR file:
```
ScCu2Ni2
1.0
-1.771 1.771 11.192
1.771 -1.771 11.192
1.771 1.771 -11.192
Sc Cu Ni
2 4 4
Cartesian
0.000 0.000 2.742 Sc
0.000 0.000 19.641 Sc
1.771 0.000 0.000 Cu
0.000 0.000 7.216 Cu
0.000 1.771 0.000 Cu
0.000 0.000 15.167 Cu
1.771 0.000 5.596 Ni
0.000 0.000 9.526 Ni
0.000 0.000 12.858 Ni
0.000 1.771 5.596 Ni
```

**Offset from the most stable computed form**: 0.031 eV/atom
**VASP energy**: -5.346 eV/atom
**Energy relative to the elements**: -0.128 eV per atom
**Total magnetization**: 0.00 Bohr magnetons per cell
**Symmetry**: I4/mmm